Record 1
The following is a DFT calculation (PBE) of SrZn2Te after structural relaxation.

a b c (Å): 8.5552 8.5552 6.8208
angles (deg): 51.16 51.16 90.00
Atoms (fractional coordinates):
Zn1 0.6588 0.1250 0.2500
Zn2 0.3750 0.3412 0.7500
Zn3 0.8750 0.9088 0.7500
Zn4 0.0912 0.6250 0.2500
Sr1 0.2500 0.7500 0.5000
Sr2 0.5000 0.5000 0.0000
Te1 0.7500 0.2500 0.5000
Te2 0.0000 0.0000 0.0000

Summary:
Energy relative to the elements, uncorrected   -0.354 eV/atom
Crystal system   tetragonal
Total magnetization   0.00 μB/f.u.
Symmetry   I-42d

Record 2
The following is a DFT calculation (PBE) of SrZnTe after structural relaxation.

a b c (Å): 5.7558 5.7566 4.4731
angles (deg): 67.13 67.14 45.73
Atoms (fractional coordinates):
Sr1 0.9901 0.9901 0.0099
Te1 0.3452 0.3452 0.6548
Zn1 0.6647 0.6647 0.3353

Summary:
Offset from the most stable computed form   227 meV/atom
Energy relative to the elements, uncorrected   -0.682 eV/atom
Crystal system   tetragonal
Total magnetization   0.00 μB/f.u.
Symmetry   I4mm

Record 3
The following is a DFT calculation (PBE) of SrZnTe2 after structural relaxation.

a b c (Å): 6.8871 6.8871 6.8871
angles (deg): 142.34 142.34 54.31
Atoms (fractional coordinates):
Te1 0.0000 0.0000 0.0000
Te2 0.2500 0.7500 0.5000
Zn1 0.5000 0.5000 0.0000
Sr1 0.7500 0.2500 0.5000

Summary:
Energy relative to the elements, uncorrected   -0.599 eV/atom
Crystal system   tetragonal
Total magnetization   0.00 μB/f.u.
Symmetry   I-4m2

Record 4
The following is a DFT calculation (PBE) of Sr4ZnTe2 after structural relaxation.

a b c (Å): 5.7314 5.7314 9.6512
angles (deg): 72.73 72.73 90.00
Atoms (fractional coordinates):
Zn1 0.0000 0.0000 0.0000
Sr1 0.5000 0.0000 0.0000
Sr2 0.1780 0.1780 0.6441
Sr3 0.0000 0.5000 0.0000
Sr4 0.8220 0.8220 0.3559
Te1 0.3644 0.3644 0.2712
Te2 0.6356 0.6356 0.7288

Summary:
Energy relative to the elements, uncorrected   -0.708 eV/atom
Crystal system   tetragonal
Total magnetization   0.00 μB/f.u.
Symmetry   I4/mmm

Record 5
The following is a DFT calculation (PBE) of SrZnTe2 after structural relaxation.

a b c (Å): 7.7319 7.7319 7.1165
angles (deg): 57.10 57.10 90.00
Atoms (fractional coordinates):
Sr1 0.0000 0.0000 0.0000
Sr2 0.7500 0.2500 0.5000
Zn1 0.5000 0.5000 0.0000
Zn2 0.2500 0.7500 0.5000
Te1 0.5619 0.1250 0.2500
Te2 0.8750 0.8119 0.7500
Te3 0.1881 0.6250 0.2500
Te4 0.3750 0.4381 0.7500

Summary:
Energy relative to the elements, uncorrected   -0.946 eV/atom
Crystal system   tetragonal
Total magnetization   0.00 μB/f.u.
Symmetry   I-42d

Record 6
The following is a DFT calculation (PBE) of SrZn3Te after structural relaxation.

a b c (Å): 5.3757 5.3757 5.3757
angles (deg): 90.00 90.00 90.00
Atoms (fractional coordinates):
Zn1 0.0000 0.0000 0.5000
Zn2 0.5000 0.0000 0.0000
Zn3 0.0000 0.5000 0.0000
Sr1 0.5000 0.5000 0.5000
Te1 0.0000 0.0000 0.0000

Summary:
Offset from the most stable computed form   0 meV/atom
Energy relative to the elements, uncorrected   0.248 eV/atom
Crystal system   cubic
Total magnetization   0.00 μB/f.u.
Symmetry   Pm-3m

Record 7
The following is a DFT calculation (PBE) of SrZnTe3 after structural relaxation.

a b c (Å): 6.3649 6.3649 6.3649
angles (deg): 90.00 90.00 90.00
Atoms (fractional coordinates):
Zn1 0.5000 0.5000 0.5000
Te1 0.0000 0.0000 0.5000
Te2 0.0000 0.5000 0.0000
Te3 0.5000 0.0000 0.0000
Sr1 0.0000 0.0000 0.0000

Summary:
Offset from the most stable computed form   729 meV/atom
Energy relative to the elements, uncorrected   0.290 eV/atom
Crystal system   cubic
Total magnetization   4.00 μB/f.u.
Symmetry   Pm-3m

Record 8
The following is a DFT calculation (PBE) of SrZn2Te after structural relaxation.

a b c (Å): 4.6554 4.6554 6.4024
angles (deg): 68.54 68.54 60.01
Atoms (fractional coordinates):
Zn1 0.0366 0.0366 0.8881
Zn2 0.7076 0.7076 0.8755
Te1 0.2718 0.2718 0.1878
Sr1 0.4840 0.4840 0.5486

Summary:
Energy relative to the elements, uncorrected   -0.519 eV/atom
Crystal system   monoclinic
Total magnetization   0.00 μB/f.u.
Symmetry   Cm

Record 9
The following is a DFT calculation (PBE) of SrZn2Te after structural relaxation.

a b c (Å): 4.1695 4.1705 6.4326
angles (deg): 90.06 90.00 90.00
Atoms (fractional coordinates):
Zn1 0.0000 0.8742 0.1119
Zn2 0.5000 0.3733 0.1121
Te1 0.5000 0.8764 0.7521
Sr1 0.0000 0.3761 0.5239

Summary:
Energy relative to the elements, uncorrected   -0.496 eV/atom
Crystal system   monoclinic
Total magnetization   0.00 μB/f.u.
Symmetry   Pm

Record 10
The following is a DFT calculation (PBE) of SrZn3Te after structural relaxation.

a b c (Å): 5.8573 5.8573 5.8573
angles (deg): 90.00 90.00 90.00
Atoms (fractional coordinates):
Zn1 0.0000 0.0000 0.5000
Zn2 0.0000 0.5000 0.0000
Zn3 0.5000 0.0000 0.0000
Sr1 0.0000 0.0000 0.0000
Te1 0.5000 0.5000 0.5000

Summary:
Offset from the most stable computed form   427 meV/atom
Energy relative to the elements, uncorrected   0.675 eV/atom
Crystal system   cubic
Total magnetization   0.00 μB/f.u.
Symmetry   Pm-3m

Record 11
The following is a DFT calculation (PBE) of SrZrZn2Te after structural relaxation.

a b c (Å): 5.5084 5.9774 5.5084
angles (deg): 90.00 90.00 90.00
Atoms (fractional coordinates):
Zn1 0.0000 0.0000 0.5000
Zn2 0.5000 0.0000 0.0000
Sr1 0.0000 0.0000 0.0000
Te1 0.0000 0.5000 0.0000
Zr1 0.5000 0.5000 0.5000

Summary:
Energy relative to the elements, uncorrected   0.885 eV/atom
Crystal system   tetragonal
Total magnetization   2.80 μB/f.u.
Symmetry   P4/mmm

Record 12
The following is a DFT calculation (PBE) of SrZr3Te after structural relaxation.

a b c (Å): 5.4209 5.4209 5.4209
angles (deg): 90.00 90.00 90.00
Atoms (fractional coordinates):
Sr1 0.5000 0.5000 0.5000
Zr1 0.0000 0.0000 0.5000
Zr2 0.5000 0.0000 0.0000
Zr3 0.0000 0.5000 0.0000
Te1 0.0000 0.0000 0.0000

Summary:
Offset from the most stable computed form   0 meV/atom
Energy relative to the elements, uncorrected   0.364 eV/atom
Crystal system   cubic
Total magnetization   0.00 μB/f.u.
Symmetry   Pm-3m

Copy entry 8 word for word.
The following is a DFT calculation (PBE) of SrZn2Te after structural relaxation.

a b c (Å): 4.6554 4.6554 6.4024
angles (deg): 68.54 68.54 60.01
Atoms (fractional coordinates):
Zn1 0.0366 0.0366 0.8881
Zn2 0.7076 0.7076 0.8755
Te1 0.2718 0.2718 0.1878
Sr1 0.4840 0.4840 0.5486

Summary:
Energy relative to the elements, uncorrected   -0.519 eV/atom
Crystal system   monoclinic
Total magnetization   0.00 μB/f.u.
Symmetry   Cm

> Look up the total magnetization of the seventh one.

4.00 μB/f.u.

> The highest total magnetization belongs to which entry?

SrZnTe3

> What is the total magnetization in the seventh record?

4.00 μB/f.u.